No. 1
{
  "formula": "Zn2TeP",
  "functional": "PBE-GGA",
  "state": "optimized geometry",
  "lattice": [[3.5772, 0.0000, 0.0000], [0.0000, 3.5772, 0.0000], [0.0000, 0.0000, 6.0154]],
  "species": ["Zn", "Zn", "Te", "P"],
  "fractional_positions": [[0.0000, 0.0000, 0.2084], [0.0000, 0.0000, 0.7916], [0.5000, 0.5000, 0.5000], [0.5000, 0.5000, 0.0000]],
  "e_form_raw_ev_per_fu": 1.3,
  "e_above_lowest_polymorph_kj_per_mol_fu": 192,
  "mass_density_g_cm3": 6.24
}

No. 2
{
  "formula": "BeZnTe2",
  "functional": "PBE-GGA",
  "state": "optimized geometry",
  "lattice": [[4.1629, 0.0000, 0.0000], [0.0000, 7.2735, 0.0000], [0.0000, 0.0000, 6.8577]],
  "species": ["Be", "Be", "Zn", "Zn", "Te", "Te", "Te", "Te"],
  "fractional_positions": [[0.0000, 0.0773, 0.0000], [0.5000, 0.9227, 0.5000], [0.0000, 0.4092, 0.5026], [0.5000, 0.5908, 0.0026], [0.0000, 0.0663, 0.3646], [0.0000, 0.3967, 0.8880], [0.5000, 0.6033, 0.3880], [0.5000, 0.9337, 0.8646]],
  "e_form_raw_ev_per_fu": -1.6,
  "e_above_lowest_polymorph_kj_per_mol_fu": 8,
  "mass_density_g_cm3": 5.27
}